The following is a DFT calculation (PBE) of a relaxed CrInFe2 crystal.

## Properties
The calculation puts the raw total energy at -7.005 eV per atom. Its formation energy is 0.317 eV per atom. The value obtained for the volume is 57 Å³/cell.

Geometry as POSCAR:
```
CrInFe2
1.0
-0.352 -3.517 3.139
-1.381 -4.486 0.557
3.707 -2.578 -0.508
In Fe Cr
1 2 1
direct
0.496 0.496 0.514
0.730 0.730 0.782
0.006 0.006 0.007
0.268 0.268 0.198
```

The following is a DFT calculation (PBE) of a relaxed SmTh3Sn5 crystal.

## Properties
The calculation puts the raw total energy at -5.792 eV per atom. Its formation energy is -0.571 eV per atom. The value obtained for the volume is 518 Å³/cell.

Geometry as POSCAR:
```
SmTh3Sn5
1.0
6.451 0.000 0.000
0.000 8.338 -4.814
0.000 0.000 9.627
Sn Sm Th
10 2 6
direct
0.250 0.718 0.718
0.500 0.667 0.333
0.750 0.282 0.282
0.750 0.718 0.000
0.500 0.333 0.667
0.250 0.000 0.282
0.000 0.333 0.667
0.000 0.667 0.333
0.250 0.282 0.000
0.750 0.000 0.718
0.500 0.000 0.000
0.000 0.000 0.000
0.250 0.000 0.617
0.250 0.617 0.000
0.750 0.000 0.383
0.750 0.617 0.617
0.250 0.383 0.383
0.750 0.383 0.000
```

The following is a DFT calculation (PBE) of a relaxed Pr2Dy3Y6Ho crystal.

## Properties
The calculation puts the raw total energy at -5.542 eV per atom. Its formation energy is 0.018 eV per atom. The value obtained for the volume is 390 Å³/cell.

Geometry as POSCAR:
```
Pr2Dy3Y6Ho
1.0
-3.605 3.993 -3.099
0.728 -5.795 -2.103
-8.265 -2.843 8.016
Pr Dy Y Ho
2 3 6 1
direct
0.667 0.333 0.000
0.333 0.667 0.000
0.500 0.500 0.500
0.834 0.166 0.500
0.166 0.834 0.500
0.583 0.916 0.747
0.916 0.583 0.747
0.084 0.417 0.253
0.752 0.752 0.253
0.417 0.084 0.253
0.248 0.248 0.747
0.000 0.000 0.000
```

The following is a DFT calculation (PBE) of a relaxed TbTl3Sb3Se8 crystal.

## Properties
The calculation puts the raw total energy at -4.043 eV per atom. The raw formation energy is -56 kJ per mole of atoms. The value obtained for the volume is 452 Å³/cell.

Geometry as POSCAR:
```
TbTl3Sb3Se8
1.0
8.300 0.000 0.000
-4.150 7.189 -0.027
0.000 -4.764 7.594
Se Sb Tb Tl
8 3 1 3
direct
0.761 0.521 0.287
0.761 0.026 0.287
0.261 0.522 0.283
0.739 0.478 0.717
0.239 0.974 0.713
0.239 0.479 0.713
0.734 0.974 0.713
0.266 0.026 0.287
0.000 0.500 0.500
0.500 0.000 0.500
0.500 0.500 0.500
0.000 0.000 0.500
0.000 0.000 0.000
0.000 0.500 0.000
0.500 0.500 0.000
```

The following is a DFT calculation (PBE) of a relaxed AcPmAsIr crystal.

## Properties
The calculation puts the raw total energy at -6.302 eV per atom. Its formation energy is -0.709 eV per atom. The value obtained for the volume is 102 Å³/cell.

Geometry as POSCAR:
```
AcPmAsIr
1.0
-3.402 0.017 3.982
1.056 -2.706 4.358
1.171 2.529 4.434
Pm As Ir Ac
1 1 1 1
direct
0.750 0.750 0.750
0.500 0.500 0.500
0.000 0.000 0.000
0.250 0.250 0.250
```

The following is a DFT calculation (PBE) of a relaxed Cu3OsRh12 crystal.

## Properties
The calculation puts the raw total energy at -6.914 eV per atom. Its formation energy is 0.069 eV per atom. The value obtained for the volume is 223 Å³/cell.

Geometry as POSCAR:
```
Cu3OsRh12
1.0
-1.095 -3.551 -0.903
2.705 -1.419 2.302
-9.852 0.083 11.629
Rh Cu Os
12 3 1
direct
0.000 0.500 0.124
0.500 0.500 0.000
0.000 0.500 0.376
0.500 0.000 0.624
0.000 0.500 0.624
0.500 0.500 0.251
0.500 0.500 0.749
0.500 0.000 0.376
0.500 0.000 0.876
0.500 0.500 0.500
0.000 0.500 0.876
0.500 0.000 0.124
0.000 0.000 0.748
0.000 0.000 0.252
0.000 0.000 0.500
0.000 0.000 0.000
```

The following is a DFT calculation (PBE) of a relaxed Mg5Si6 crystal.

## Properties
The calculation puts the raw total energy at -3.613 eV per atom. The raw formation energy is 7 kJ per mole of atoms. The value obtained for the volume is 436 Å³/cell.

Geometry as POSCAR:
```
Mg5Si6
1.0
5.241 0.009 0.046
1.228 6.227 0.005
1.914 0.393 13.380
Si Mg
12 10
direct
0.719 0.309 0.610
0.475 0.678 0.065
0.139 0.590 0.824
0.736 0.976 0.719
0.342 0.421 0.968
0.021 0.980 0.560
0.075 0.920 0.317
0.862 0.743 0.463
0.230 0.598 0.222
0.003 0.971 0.851
0.797 0.107 0.194
0.533 0.352 0.312
0.646 0.750 0.281
0.688 0.457 0.797
0.951 0.787 0.044
0.302 0.157 0.147
0.862 0.302 0.004
0.997 0.343 0.393
0.226 0.234 0.700
0.432 0.722 0.637
0.493 0.101 0.478
0.467 0.999 0.917
```

The following is a DFT calculation (PBE) of a relaxed Tm2GaIr crystal.

## Properties
The calculation puts the raw total energy at -5.999 eV per atom. Its formation energy is -0.792 eV per atom. The value obtained for the volume is 174 Å³/cell.

Geometry as POSCAR:
```
Tm2GaIr
1.0
4.332 0.000 0.000
0.000 5.759 -0.046
0.000 -2.930 6.992
Ga Tm Ir
2 4 2
direct
0.750 0.669 0.291
0.250 0.331 0.709
0.750 0.234 0.412
0.250 0.799 0.066
0.250 0.766 0.588
0.750 0.201 0.934
0.750 0.643 0.787
0.250 0.357 0.213
```

The following is a DFT calculation (PBE) of a relaxed ScTi2Pt crystal.

## Properties
The calculation puts the raw total energy at -7.289 eV per atom. Its formation energy is -0.249 eV per atom. The value obtained for the volume is 156 Å³/cell.

Geometry as POSCAR:
```
ScTi2Pt
1.0
-7.317 -1.026 1.394
1.422 -7.014 2.303
-2.585 -3.099 4.429
Ti Sc Pt
4 2 2
direct
0.076 0.625 0.250
0.875 0.924 0.750
0.674 0.125 0.250
0.375 0.326 0.750
0.250 0.750 0.500
0.500 0.500 0.000
0.000 0.000 0.000
0.750 0.250 0.500
```

The following is a DFT calculation (PBE) of a relaxed Pm6Sm2Ho3Sc crystal.

## Properties
The calculation puts the raw total energy at -4.810 eV per atom. Its formation energy is 0.024 eV per atom. The value obtained for the volume is 390 Å³/cell.

Geometry as POSCAR:
```
Pm6Sm2Ho3Sc
1.0
6.219 -0.001 0.003
-3.108 5.386 0.003
-1.042 -1.805 11.629
Ho Sm Pm Sc
3 2 6 1
direct
0.500 0.500 0.500
0.834 0.166 0.500
0.166 0.834 0.500
0.667 0.333 0.000
0.333 0.667 0.000
0.752 0.752 0.250
0.083 0.413 0.250
0.248 0.248 0.750
0.587 0.917 0.750
0.917 0.587 0.750
0.413 0.083 0.250
0.000 0.000 0.000
```

The following is a DFT calculation (PBE) of a relaxed Li2TcOs crystal.

## Properties
The calculation puts the raw total energy at -5.754 eV per atom. Its formation energy is 0.602 eV per atom. The value obtained for the volume is 51 Å³/cell.

Geometry as POSCAR:
```
Li2TcOs
1.0
4.550 0.000 0.000
0.000 4.550 0.000
0.000 0.000 2.470
Os Li Tc
1 2 1
direct
0.500 0.000 0.500
0.500 0.500 0.000
0.000 0.000 0.000
0.000 0.500 0.500
```

The following is a DFT calculation (PBE) of a relaxed BeAsCl crystal.

## Properties
The calculation puts the raw total energy at -3.607 eV per atom. The raw formation energy is -19 kJ per mole of atoms. The value obtained for the volume is 68 Å³/cell.

Geometry as POSCAR:
```
BeAsCl
1.0
-3.735 3.477 -6.499
-3.974 0.098 -6.721
-2.301 2.251 1.079
Be Cl As
1 1 1
direct
0.678 0.678 0.322
0.269 0.269 0.731
0.052 0.052 0.948
```

The following is a DFT calculation (PBE) of a relaxed BAsPd crystal.

## Properties
The calculation puts the raw total energy at -5.298 eV per atom. Its formation energy is 0.209 eV per atom. The value obtained for the volume is 92 Å³/cell.

Geometry as POSCAR:
```
BAsPd
1.0
-2.515 -0.929 1.887
3.101 0.202 1.384
0.602 8.636 5.055
Pd As B
2 2 2
direct
0.585 0.171 0.609
0.415 0.829 0.391
0.333 0.665 0.154
0.667 0.335 0.846
0.964 0.928 0.228
0.036 0.072 0.772
```

The following is a DFT calculation (PBE) of a relaxed MgZrNiOs crystal.

## Properties
The calculation puts the raw total energy at -7.020 eV per atom. Its formation energy is -0.232 eV per atom. The value obtained for the volume is 64 Å³/cell.

Geometry as POSCAR:
```
MgZrNiOs
1.0
-0.837 -0.380 -4.404
0.844 -3.876 -2.124
-3.405 -2.570 -1.429
Zr Ni Mg Os
1 1 1 1
direct
0.500 0.500 0.500
0.250 0.250 0.250
0.000 0.000 0.000
0.750 0.750 0.750
```

The following is a DFT calculation (PBE) of a relaxed Sc3PCl3 crystal.

## Properties
The calculation puts the raw total energy at -5.996 eV per atom. The raw formation energy is -166 kJ per mole of atoms. The value obtained for the volume is 334 Å³/cell.

Geometry as POSCAR:
```
Sc3PCl3
1.0
-5.814 0.276 2.452
-2.053 -4.619 3.785
0.841 3.305 9.757
Sc Cl P
6 6 2
direct
0.291 0.609 0.149
0.050 0.709 0.851
0.950 0.291 0.149
0.709 0.391 0.851
0.609 0.950 0.149
0.391 0.050 0.851
0.776 0.104 0.689
0.431 0.776 0.689
0.569 0.224 0.311
0.104 0.431 0.689
0.224 0.896 0.311
0.896 0.569 0.311
0.333 0.333 0.000
0.667 0.667 0.000
```

The following is a DFT calculation (PBE) of a relaxed NbOs3Ru crystal.

## Properties
The calculation puts the raw total energy at -8.474 eV per atom. Its formation energy is 2.133 eV per atom. The value obtained for the volume is 98 Å³/cell.

Geometry as POSCAR:
```
NbOs3Ru
1.0
4.608 0.000 0.000
0.000 4.608 0.000
0.000 0.000 4.608
Os Nb Ru
3 1 1
direct
0.000 0.000 0.500
0.500 0.000 0.000
0.000 0.500 0.000
0.500 0.500 0.500
0.000 0.000 0.000
```

The following is a DFT calculation (PBE) of a relaxed MnTlOs2 crystal.

## Properties
The calculation puts the raw total energy at -7.699 eV per atom. Its formation energy is 0.800 eV per atom. The value obtained for the volume is 63 Å³/cell.

Geometry as POSCAR:
```
MnTlOs2
1.0
-0.290 1.255 -3.675
-3.922 -0.953 -0.016
-0.904 3.700 1.334
Mn Os Tl
1 2 1
direct
0.500 0.000 0.500
0.000 0.500 0.500
0.000 0.000 0.000
0.500 0.500 0.000
```

The following is a DFT calculation (PBE) of a relaxed K2Cd5Bi4 crystal.

## Properties
The calculation puts the raw total energy at -2.075 eV per atom. Its formation energy is -0.048 eV per atom. The value obtained for the volume is 396 Å³/cell.

Geometry as POSCAR:
```
K2Cd5Bi4
1.0
-0.963 6.056 1.572
-7.608 1.563 2.063
1.336 1.221 8.858
Bi K Cd
4 2 5
direct
0.488 0.278 0.745
0.512 0.722 0.255
0.766 0.722 0.745
0.234 0.278 0.255
0.159 0.000 0.681
0.841 0.000 0.319
0.250 0.500 0.500
0.500 0.500 0.000
0.500 0.000 0.000
0.750 0.500 0.500
0.000 0.500 0.000
```

The following is a DFT calculation (PBE) of a relaxed BiPH2 crystal.

## Properties
The calculation puts the raw total energy at -3.189 eV per atom. The value obtained for the volume is 51 Å³/cell.

Geometry as POSCAR:
```
BiPH2
1.0
3.271 1.556 2.070
-0.452 3.420 2.347
0.166 -0.288 4.159
P Bi H
1 1 2
direct
0.000 0.000 0.000
0.500 0.500 0.500
0.750 0.750 0.750
0.250 0.250 0.250
```

The following is a DFT calculation (PBE) of a relaxed YHgSe2 crystal.

## Properties
The calculation puts the raw total energy at -4.319 eV per atom. The raw formation energy is -85 kJ per mole of atoms. The value obtained for the volume is 93 Å³/cell.

Geometry as POSCAR:
```
YHgSe2
1.0
4.494 0.000 0.000
0.000 5.523 0.000
0.000 0.000 3.764
Se Hg Y
2 1 1
direct
0.500 0.500 0.000
0.000 0.000 0.000
0.000 0.500 0.500
0.500 0.000 0.500
```

The following is a DFT calculation (PBE) of a relaxed Rb4Np3ZnS8 crystal.

## Properties
The calculation puts the raw total energy at -6.024 eV per atom. The raw formation energy is -117 kJ per mole of atoms. The value obtained for the volume is 438 Å³/cell.

Geometry as POSCAR:
```
Rb4Np3ZnS8
1.0
-1.098 -2.207 7.759
-4.427 -7.310 -2.706
7.535 1.050 -2.906
S Np Rb Zn
8 3 4 1
direct
0.774 0.314 0.547
0.226 0.686 0.960
0.774 0.314 0.040
0.734 0.686 0.960
0.226 0.686 0.453
0.266 0.314 0.040
0.730 0.691 0.461
0.270 0.309 0.539
0.000 0.500 0.500
0.500 0.500 0.000
0.500 0.500 0.500
0.000 0.000 0.500
0.500 0.000 0.000
0.000 0.000 0.000
0.500 0.000 0.500
0.000 0.500 0.000
```

The following is a DFT calculation (PBE) of a relaxed Sc2PtW crystal.

## Properties
The calculation puts the raw total energy at -8.141 eV per atom. Its formation energy is -0.227 eV per atom. The value obtained for the volume is 76 Å³/cell.

Geometry as POSCAR:
```
Sc2PtW
1.0
2.916 0.000 0.000
0.000 2.916 0.000
0.000 0.000 8.884
Sc W Pt
2 1 1
direct
0.000 0.000 0.963
0.500 0.500 0.281
0.000 0.000 0.522
0.500 0.500 0.734
```

The following is a DFT calculation (PBE) of a relaxed HgAsP2 crystal.

## Properties
The calculation puts the raw total energy at -3.253 eV per atom. Its formation energy is 0.690 eV per atom. The value obtained for the volume is 77 Å³/cell.

Geometry as POSCAR:
```
HgAsP2
1.0
10.778 -0.012 -0.007
10.393 2.853 -0.007
10.393 1.395 2.489
As Hg P
1 1 2
direct
0.250 0.250 0.250
0.750 0.750 0.750
0.512 0.512 0.512
0.988 0.988 0.988
```